# 1
Below is a relaxed PaAl2GeO8 crystal, with properties calculated at the PBE level.

a = 4.564 Å, b = 4.564 Å, c = 6.264 Å
α = 90.00°, β = 90.00°, γ = 90.86°
Positions (direct):
Pa (0.000, 0.000, 0.000)
Al (0.500, 0.500, 0.271)
Al (0.500, 0.500, 0.729)
Ge (0.000, 0.000, 0.500)
O (0.206, 0.206, 0.278)
O (0.206, 0.206, 0.722)
O (0.300, 0.700, 0.500)
O (0.325, 0.675, 0.000)
O (0.675, 0.325, 0.000)
O (0.700, 0.300, 0.500)
O (0.794, 0.794, 0.278)
O (0.794, 0.794, 0.722)

- Space-group type: Cmmm
- ΔE_f (raw): -2.520 eV/atom
- Fermi-level density of states: 0.515 states/eV/atom

=====

# 2
Below is a relaxed PaAlGeO6 crystal, with properties calculated at the PBE level.

a = 4.956 Å, b = 4.956 Å, c = 9.589 Å
α = 90.00°, β = 90.00°, γ = 120.00°
Positions (direct):
Pa (0.000, 0.000, 0.000)
Pa (0.000, 0.000, 0.500)
Al (0.333, 0.667, 0.250)
Al (0.667, 0.333, 0.750)
Ge (0.333, 0.667, 0.750)
Ge (0.667, 0.333, 0.250)
O (0.000, 0.356, 0.139)
O (0.000, 0.357, 0.639)
O (0.000, 0.643, 0.361)
O (0.000, 0.644, 0.861)
O (0.356, 0.000, 0.639)
O (0.356, 0.357, 0.861)
O (0.357, 0.000, 0.139)
O (0.357, 0.356, 0.361)
O (0.643, 0.000, 0.861)
O (0.643, 0.644, 0.639)
O (0.644, 0.000, 0.361)
O (0.644, 0.643, 0.139)

- Space-group type: P-31c
- ΔE_f (raw): -2.771 eV/atom
- Fermi-level density of states: 0.000 states/eV/atom

=====

# 3
Below is a relaxed Al2GePbO6 crystal, with properties calculated at the PBE level.

a = 7.490 Å, b = 7.490 Å, c = 5.673 Å
α = 103.29°, β = 103.29°, γ = 97.77°
Positions (direct):
Al (0.158, 0.319, 0.351)
Al (0.319, 0.158, 0.851)
Al (0.681, 0.842, 0.149)
Al (0.842, 0.681, 0.649)
Ge (0.299, 0.701, 0.750)
Ge (0.701, 0.299, 0.250)
Pb (0.145, 0.855, 0.250)
Pb (0.855, 0.145, 0.750)
O (0.073, 0.661, 0.799)
O (0.162, 0.209, 0.598)
O (0.209, 0.162, 0.098)
O (0.293, 0.549, 0.462)
O (0.339, 0.927, 0.701)
O (0.451, 0.707, 0.038)
O (0.549, 0.293, 0.962)
O (0.661, 0.073, 0.299)
O (0.707, 0.451, 0.538)
O (0.791, 0.838, 0.902)
O (0.838, 0.791, 0.402)
O (0.927, 0.339, 0.201)

- Space-group type: C2/c
- ΔE_f (raw): -2.216 eV/atom
- Fermi-level density of states: 0.000 states/eV/atom

=====

# 4
Below is a relaxed PmAlGeO5 crystal, with properties calculated at the PBE level.

a = 5.555 Å, b = 5.555 Å, c = 6.914 Å
α = 102.79°, β = 102.79°, γ = 106.31°
Positions (direct):
Pm (0.176, 0.824, 0.750)
Pm (0.824, 0.176, 0.250)
Al (0.500, 0.500, 0.000)
Al (0.500, 0.500, 0.500)
Ge (0.181, 0.819, 0.250)
Ge (0.819, 0.181, 0.750)
O (0.127, 0.246, 0.932)
O (0.188, 0.598, 0.399)
O (0.246, 0.127, 0.432)
O (0.402, 0.812, 0.101)
O (0.432, 0.568, 0.750)
O (0.568, 0.432, 0.250)
O (0.598, 0.188, 0.899)
O (0.754, 0.873, 0.568)
O (0.812, 0.402, 0.601)
O (0.873, 0.754, 0.068)

- Space-group type: C2/c
- ΔE_f (raw): -2.670 eV/atom
- Fermi-level density of states: 0.000 states/eV/atom

=====

# 5
Below is a relaxed PuAlGeO6 crystal, with properties calculated at the PBE level.

a = 5.106 Å, b = 5.106 Å, c = 8.612 Å
α = 90.00°, β = 90.00°, γ = 120.00°
Positions (direct):
Pu (0.333, 0.667, 0.250)
Pu (0.667, 0.333, 0.750)
Al (0.333, 0.667, 0.750)
Al (0.667, 0.333, 0.250)
Ge (0.000, 0.000, 0.000)
Ge (0.000, 0.000, 0.500)
O (0.030, 0.337, 0.625)
O (0.030, 0.693, 0.875)
O (0.307, 0.337, 0.875)
O (0.307, 0.970, 0.625)
O (0.337, 0.030, 0.125)
O (0.337, 0.307, 0.375)
O (0.663, 0.693, 0.625)
O (0.663, 0.970, 0.875)
O (0.693, 0.030, 0.375)
O (0.693, 0.663, 0.125)
O (0.970, 0.307, 0.125)
O (0.970, 0.663, 0.375)

- Space-group type: P-31c
- ΔE_f (raw): -2.195 eV/atom
- Fermi-level density of states: 0.879 states/eV/atom

=====

# 6
Below is a relaxed RbAlGeO4 crystal, with properties calculated at the PBE level.

a = 5.578 Å, b = 5.578 Å, c = 5.578 Å
α = 119.87°, β = 119.87°, γ = 90.22°
Positions (direct):
Rb (0.000, 0.000, 0.000)
Al (0.500, 0.500, 0.000)
Ge (0.750, 0.250, 0.500)
O (0.124, 0.451, 0.827)
O (0.549, 0.376, 0.673)
O (0.624, 0.297, 0.173)
O (0.703, 0.876, 0.327)

- Space-group type: I-4
- ΔE_f (raw): -2.233 eV/atom
- Fermi-level density of states: 0.000 states/eV/atom

=====

# 7
Below is a relaxed RbAl2GeO6 crystal, with properties calculated at the PBE level.

a = 7.420 Å, b = 7.420 Å, c = 6.018 Å
α = 101.29°, β = 101.29°, γ = 108.43°
Positions (direct):
Rb (0.098, 0.902, 0.750)
Rb (0.902, 0.098, 0.250)
Al (0.287, 0.455, 0.875)
Al (0.455, 0.287, 0.375)
Al (0.545, 0.713, 0.625)
Al (0.713, 0.545, 0.125)
Ge (0.209, 0.791, 0.250)
Ge (0.791, 0.209, 0.750)
O (0.045, 0.271, 0.763)
O (0.248, 0.672, 0.994)
O (0.271, 0.045, 0.263)
O (0.328, 0.752, 0.506)
O (0.363, 0.410, 0.599)
O (0.410, 0.363, 0.099)
O (0.590, 0.637, 0.901)
O (0.637, 0.590, 0.401)
O (0.672, 0.248, 0.494)
O (0.729, 0.955, 0.737)
O (0.752, 0.328, 0.006)
O (0.955, 0.729, 0.237)

- Space-group type: C2/c
- ΔE_f (raw): -2.164 eV/atom

=====

# 8
Below is a relaxed RbAlGe2O6 crystal, with properties calculated at the PBE level.

a = 7.658 Å, b = 7.658 Å, c = 5.796 Å
α = 103.44°, β = 103.44°, γ = 97.60°
Positions (direct):
Rb (0.142, 0.858, 0.750)
Rb (0.858, 0.142, 0.250)
Al (0.278, 0.722, 0.250)
Al (0.722, 0.278, 0.750)
Ge (0.187, 0.353, 0.868)
Ge (0.353, 0.187, 0.368)
Ge (0.647, 0.813, 0.632)
Ge (0.813, 0.647, 0.132)
O (0.049, 0.667, 0.256)
O (0.208, 0.244, 0.116)
O (0.244, 0.208, 0.616)
O (0.303, 0.580, 0.976)
O (0.333, 0.951, 0.244)
O (0.420, 0.697, 0.524)
O (0.580, 0.303, 0.476)
O (0.667, 0.049, 0.756)
O (0.697, 0.420, 0.024)
O (0.756, 0.792, 0.384)
O (0.792, 0.756, 0.884)
O (0.951, 0.333, 0.744)

- Space-group type: C2/c
- ΔE_f (raw): -2.018 eV/atom
- Fermi-level density of states: 0.000 states/eV/atom